{"formula": "Ca2ScCl", "functional": "PBE-GGA", "state": "optimized geometry", "lattice": [[3.755, 0.000, 0.000], [0.000, 6.153, 0.000], [0.000, 0.000, 10.214]], "species": ["Ca", "Ca", "Ca", "Ca", "Sc", "Sc", "Cl", "Cl"], "fractional_positions": [[0.000, 0.000, 0.000], [0.000, 0.500, 0.310], [0.500, 0.000, 0.310], [0.500, 0.500, 0.000], [0.000, 0.000, 0.580], [0.500, 0.500, 0.580], [0.000, 0.500, 0.780], [0.500, 0.000, 0.780]], "e_form_raw_ev_per_atom": -0.529}